1.
Entry from Alexandria: crystalline Sc2MoW at its relaxed geometry (PBE-GGA).

**Energy of formation**: 160 meV per atom
**Energy above the lowest structure with this stoichiometry**: 0.130 eV per atom
**Symmetry**: No. 6

Lattice parameters (Å, degrees): 4.4671 2.9552 5.7983 79.10 90.00 90.00
Last column: nearest neighbours and their distance in Å.
Atoms (fractional coordinates):
Sc (0.0000, 0.9879, 0.9788)  3 W 2.85-3.17, 2 Mo 2.86, 4 Sc 2.96-2.98
Sc (0.5000, 0.2389, 0.2715)  1 Mo 2.79, 2 W 2.91, 4 Sc 2.96-2.98
Mo (0.5000, 0.7207, 0.7274)  2 W 2.62, 3 Sc 2.79-2.86
W (0.0000, 0.5524, 0.5224)  2 Mo 2.62, 3 Sc 2.85-2.91


2.
Entry from Alexandria: crystalline Er2TmSc3Se6 at its relaxed geometry (PBE-GGA).

**Energy relative to the elements, uncorrected**: -1.64 eV/atom
**Symmetry**: No. 12

Lattice parameters (Å, degrees): 3.9500 7.9247 8.8284 102.78 102.93 90.00
Last column: nearest neighbours and their distance in Å.
Atoms (fractional coordinates):
Se (0.3362, 0.4103, 0.6725)  3 Sc 2.75, 3 Er 2.83-2.84
Se (0.6638, 0.5897, 0.3275)  3 Sc 2.75, 3 Er 2.83-2.84
Se (0.9973, 0.2549, 0.9946)  3 Sc 2.76, 2 Tm 2.83, 1 Er 2.85
Se (0.6685, 0.0763, 0.3371)  3 Sc 2.75-2.76, 1 Tm 2.83, 2 Er 2.84
Se (0.0027, 0.7451, 0.0054)  3 Sc 2.76, 2 Tm 2.83, 1 Er 2.85
Se (0.3315, 0.9237, 0.6629)  3 Sc 2.75-2.76, 1 Tm 2.83, 2 Er 2.84
Sc (0.1674, 0.8330, 0.3348)  6 Se 2.75-2.76
Sc (0.8326, 0.1670, 0.6652)  6 Se 2.75-2.76
Sc (0.5000, 0.5000, 0.0000)  6 Se 2.75-2.76
Tm (0.5000, 0.0000, 0.0000)  6 Se 2.83
Er (0.1671, 0.3339, 0.3343)  6 Se 2.83-2.85
Er (0.8329, 0.6661, 0.6657)  6 Se 2.83-2.85


no.,ρ (g/cm3)
1,8.17
2,7.04